[1]
## Pr2EuDy (PBE-GGA)

Data for a relaxed structure of Pr2EuDy.

```
Pr2EuDy
1.0
8.3171 0.0000 0.0000
0.0000 8.3171 0.0000
0.0000 0.0000 8.3171
Pr Eu Dy
8 4 4
Direct
0.2500 0.2500 0.2500 Pr
0.2500 0.2500 0.7500 Pr
0.2500 0.7500 0.2500 Pr
0.2500 0.7500 0.7500 Pr
0.7500 0.2500 0.2500 Pr
0.7500 0.2500 0.7500 Pr
0.7500 0.7500 0.2500 Pr
0.7500 0.7500 0.7500 Pr
0.0000 0.0000 0.0000 Eu
0.0000 0.5000 0.5000 Eu
0.5000 0.0000 0.5000 Eu
0.5000 0.5000 0.0000 Eu
0.0000 0.0000 0.5000 Dy
0.0000 0.5000 0.0000 Dy
0.5000 0.0000 0.0000 Dy
0.5000 0.5000 0.5000 Dy
```

Total magnetization in μB per formula unit: 7.69
Space group: Fm-3m, No. 225
Energy of formation in meV/atom: 126.7

=====

[2]
## PrEuDy (PBE-GGA)

Data for a relaxed structure of PrEuDy.

```
PrEuDy
1.0
3.7153 0.0000 0.0000
0.0000 3.7153 0.0000
0.0000 0.0000 15.6397
Pr Eu Dy
2 2 2
Direct
0.0000 0.0000 0.0000 Pr
0.5000 0.5000 0.5000 Pr
0.0000 0.0000 0.3230 Eu
0.5000 0.5000 0.8230 Eu
0.0000 0.0000 0.6522 Dy
0.5000 0.5000 0.1522 Dy
```

Total magnetization in μB per formula unit: 7.27
Space group: I4mm, No. 107
Energy of formation in meV/atom: 42.3

=====

no.,N(E_F) (states/eV per cell)
1,25.47
2,7.20